*one*
{
  "formula": "SeIBr",
  "functional": "PBE",
  "state": "optimized geometry",
  "space_group": "P1 (1)",
  "lattice": [[-3.432, -0.754, 3.214], [3.132, -2.564, 5.412], [1.728, 7.287, 5.414]],
  "species": ["Se", "Se", "I", "I", "Br", "Br"],
  "fractional_positions": [[0.850, 0.385, 0.407], [0.525, 0.597, 0.546], [0.397, 0.707, 0.188], [0.050, 0.031, 0.991], [0.715, 0.053, 0.465], [0.711, 0.498, 0.792]]
}

***

*two*
{
  "formula": "SeIBr",
  "functional": "PBE",
  "state": "optimized geometry",
  "space_group": "P1 (1)",
  "dos_at_fermi_per_ev_cell": 2.92,
  "lattice": [[-2.736, -0.360, -2.310], [2.007, -5.894, 1.293], [-6.010, 1.198, 9.670]],
  "species": ["Se", "Se", "I", "I", "Br", "Br"],
  "fractional_positions": [[0.239, 0.689, 0.102], [0.583, 0.419, 0.051], [0.966, 0.736, 0.471], [0.914, 0.450, 0.651], [0.948, 0.028, 0.186], [0.859, 0.171, 0.818]]
}

***

*three*
{
  "formula": "SeIBr",
  "functional": "PBE",
  "state": "optimized geometry",
  "space_group": "P1 (1)",
  "lattice": [[-4.253, -1.040, -4.248], [-5.590, -0.996, 3.854], [-4.014, 6.432, 0.307]],
  "species": ["Se", "Se", "I", "I", "Br", "Br"],
  "fractional_positions": [[0.129, 0.992, 0.451], [0.262, 0.300, 0.449], [0.890, 0.523, 0.567], [0.339, 0.527, 0.091], [0.855, 0.153, 0.241], [0.475, 0.783, 0.708]]
}

***

*four*
{
  "formula": "SeIBr",
  "functional": "PBE",
  "state": "optimized geometry",
  "space_group": "P3m1 (156)",
  "dos_at_fermi_per_ev_cell": 1.82,
  "lattice": [[-1.964, 3.718, -1.999], [-2.477, -2.659, 2.910], [1.473, 2.854, 3.862]],
  "species": ["I", "Se", "Br"],
  "fractional_positions": [[0.333, 0.667, 0.588], [0.667, 0.333, 0.388], [0.000, 0.000, 0.024]]
}

***

Question: of the structures shown, which is the least stable? Reply: *four*.